## HSeBr2F (PBE)

Data for HSeBr2F after structural relaxation.

Lattice parameters (Å, degrees): 5.0076 5.0076 3.5344 90.00 90.00 90.00
With the nearest neighbours (Å) after each atom.
Fractional positions:
H (0.0000, 0.0000, 0.0000)  2 Se 1.77
Se (0.0000, 0.0000, 0.5000)  2 H 1.77
Br (0.0000, 0.5000, 0.0000)  2 H 2.50
Br (0.5000, 0.0000, 0.0000)  2 H 2.50
F (0.5000, 0.5000, 0.5000)  8 Br 3.06

Output
Symmetry: P4/mmm, No. 123
ΔE to the lowest computed polymorph (meV per atom): 0
N(E_F) (states/eV/cell): 4.4
M_tot (Bohr magnetons per cell): 0.95
Calculated density (g/cm³): 4.85